Entry 1:
Entry from Alexandria via LeMat-Bulk: crystalline La2Pm6Er3Sc at its relaxed geometry (PBE-GGA).

- SG = No. 12
- spin magnetization (μB/atom) = 0.00
- formation energy (eV per atom) = 0.03
- E_tot (eV per atom) = -4.83

Lattice parameters (Å, degrees): 6.239 6.239 11.906 95.04 95.04 120.03
Sites, in units of the cell vectors:
1 La 0.333 0.667 0.000
2 La 0.667 0.333 0.000
3 Pm 0.916 0.587 0.746
4 Pm 0.754 0.754 0.254
5 Pm 0.084 0.413 0.254
6 Pm 0.587 0.916 0.746
7 Pm 0.246 0.246 0.746
8 Pm 0.413 0.084 0.254
9 Er 0.166 0.834 0.500
10 Er 0.834 0.166 0.500
11 Er 0.500 0.500 0.500
12 Sc 0.000 0.000 0.000

***

Entry 2:
Entry from Alexandria via LeMat-Bulk: crystalline La2Pm4ErSc at its relaxed geometry (PBE-GGA).

- SG = No. 47
- spin magnetization (μB/atom) = 0.00
- formation energy (eV per atom) = 0.04
- E_tot (eV per atom) = -4.93

Lattice parameters (Å, degrees): 5.097 5.070 11.459 63.74 90.00 90.00
Sites, in units of the cell vectors:
1 La 0.000 0.000 0.000
2 La 0.500 0.000 0.500
3 Pm 0.000 0.755 0.746
4 Pm 0.000 0.245 0.254
5 Pm 0.500 0.746 0.254
6 Pm 0.500 0.254 0.746
7 Er 0.500 0.500 0.000
8 Sc 0.000 0.500 0.500

***

Entry 3:
Entry from Alexandria via LeMat-Bulk: crystalline LaPmErSc at its relaxed geometry (PBE-GGA).

- SG = No. 8
- spin magnetization (μB/atom) = 0.00
- formation energy (eV per atom) = 0.09
- E_tot (eV per atom) = -5.06

Lattice parameters (Å, degrees): 3.827 5.727 6.755 115.08 73.50 90.00
Sites, in units of the cell vectors:
1 La 0.422 0.137 0.274
2 Pm 0.654 0.411 0.821
3 Er 0.192 0.872 0.744
4 Sc 0.918 0.645 0.290